Nd3Er5 | GGA-PBE | relaxed

Cell: 3.5726 3.5726 20.2169 Å, 90.00 90.00 90.00°
Last column: nearest neighbours and their distance in Å.
Fractional coordinates of all 8 atoms:
Er (0.5000, 0.5000, 0.6262)  8 Er 3.52-3.57, 4 Nd 3.59
Nd (0.0000, 0.0000, 0.5000)  4 Nd 3.57, 8 Er 3.59
Nd (0.5000, 0.5000, 0.8738)  4 Nd 3.57, 8 Er 3.59
Er (0.0000, 0.0000, 0.7475)  8 Er 3.52-3.57, 4 Nd 3.59
Er (0.0000, 0.0000, 0.0000)  4 Er 3.57, 8 Nd 3.59
Er (0.5000, 0.5000, 0.3738)  8 Er 3.52-3.57, 4 Nd 3.59
Er (0.0000, 0.0000, 0.2525)  8 Er 3.52-3.57, 4 Nd 3.59
Nd (0.5000, 0.5000, 0.1262)  4 Nd 3.57, 8 Er 3.59

Computed properties:
total magnetic moment: 0.000 μB per atom
mass density: 8.17 g cm⁻³
energy of formation from the pure elements: 0.024 eV per atom